First-principles (PBE) data for an optimized crystal structure of NaCrAg2Cl, as listed in the Alexandria database.

Properties
Crystal system ... tetragonal
Size of the total moment ... 4.735 μB per formula unit
Space-group type ... P4/mmm, No. 123
DOS(E_F) ... 0.473 states/eV/atom
Energy relative to the elements, uncorrected ... 0.9302 eV per atom
DFT total energy ... -2.768 eV/atom

Unit cell a=5.009 b=5.009 c=5.470 alpha=90.00 beta=90.00 gamma=90.00
Element x y z (fractional)
Na 0.000 0.000 0.000
Cr 0.000 0.000 0.500
Ag 0.000 0.500 0.000
Ag 0.500 0.000 0.000
Cl 0.500 0.500 0.500